BeCoAsPd | GGA-PBE | relaxed Values from VASP.

Quantum ESPRESSO input file:
```
&SYSTEM
  ibrav = 0, nat = 4, ntyp = 4
/
ATOMIC_SPECIES
Pd 106.42 Pd.upf
As 74.92 As.upf
Co 58.93 Co.upf
Be 9.01 Be.upf
ATOMIC_POSITIONS angstrom
Pd 1.4610 1.4610 1.4610
As 0.0000 0.0000 0.0000
Co 4.3830 4.3830 4.3830
Be 2.9220 2.9220 2.9220
CELL_PARAMETERS angstrom
0.0000 2.9220 2.9220
2.9220 0.0000 2.9220
2.9220 2.9220 0.0000
```

## Properties
electronic total energy: -5.243 eV/atom
symmetry: No. 216
ΔE to the lowest computed polymorph: 0 kJ/mol of formula units

BeCoAsPd | GGA-PBE | relaxed Values from VASP.

Quantum ESPRESSO input file:
```
&SYSTEM
  ibrav = 0, nat = 4, ntyp = 4
/
ATOMIC_SPECIES
As 74.92 As.upf
Pd 106.42 Pd.upf
Be 9.01 Be.upf
Co 58.93 Co.upf
ATOMIC_POSITIONS angstrom
As 0.0000 0.0000 0.0000
Pd 2.9454 2.9454 2.9454
Be 1.4727 1.4727 1.4727
Co 4.4182 4.4182 4.4182
CELL_PARAMETERS angstrom
0.0000 2.9454 2.9454
2.9454 0.0000 2.9454
2.9454 2.9454 0.0000
```

## Properties
electronic total energy: -5.109 eV/atom
symmetry: No. 216
ΔE to the lowest computed polymorph: 52 kJ/mol of formula units

BeCoAsPt | GGA-PBE | relaxed Values from VASP.

Quantum ESPRESSO input file:
```
&SYSTEM
  ibrav = 0, nat = 4, ntyp = 4
/
ATOMIC_SPECIES
Be 9.01 Be.upf
Co 58.93 Co.upf
Pt 195.08 Pt.upf
As 74.92 As.upf
ATOMIC_POSITIONS angstrom
Be -3.5482 0.5848 3.6125
Co -5.3223 0.8773 5.4188
Pt -1.7741 0.2924 1.8063
As 0.0000 0.0000 0.0000
CELL_PARAMETERS angstrom
-0.6404 0.6405 4.0621
-3.2175 2.3203 1.2589
-3.2385 -1.7912 1.9040
```

## Properties
electronic total energy: -5.470 eV/atom
symmetry: No. 216
ΔE to the lowest computed polymorph: 0 kJ/mol of formula units

BeCoAsPt | GGA-PBE | relaxed Values from VASP.

Quantum ESPRESSO input file:
```
&SYSTEM
  ibrav = 0, nat = 4, ntyp = 4
/
ATOMIC_SPECIES
Pt 195.08 Pt.upf
Co 58.93 Co.upf
As 74.92 As.upf
Be 9.01 Be.upf
ATOMIC_POSITIONS angstrom
Pt 2.1642 1.8224 4.2852
Co 3.2463 2.7336 6.4277
As 0.0000 0.0000 0.0000
Be 1.0821 0.9112 2.1426
CELL_PARAMETERS angstrom
3.6170 1.1263 1.7964
0.0938 3.2176 2.6864
0.6176 -0.6992 4.0875
```

## Properties
electronic total energy: -5.318 eV/atom
symmetry: No. 216
ΔE to the lowest computed polymorph: 59 kJ/mol of formula units

BeCoReAs | GGA-PBE | relaxed Values from VASP.

Quantum ESPRESSO input file:
```
&SYSTEM
  ibrav = 0, nat = 4, ntyp = 4
/
ATOMIC_SPECIES
Be 9.01 Be.upf
Co 58.93 Co.upf
As 74.92 As.upf
Re 186.21 Re.upf
ATOMIC_POSITIONS angstrom
Be -2.4281 -0.6350 0.3414
Co -7.2844 -1.9049 1.0242
As 0.0000 0.0000 0.0000
Re -4.8562 -1.2699 0.6828
CELL_PARAMETERS angstrom
-2.6999 -3.1334 0.0258
-3.1462 0.0031 2.6851
-3.8665 0.5904 -1.3453
```

## Properties
electronic total energy: -6.415 eV/atom
symmetry: No. 216
ΔE to the lowest computed polymorph: 177 kJ/mol of formula units

BeCoReAs | GGA-PBE | relaxed Values from VASP.

Quantum ESPRESSO input file:
```
&SYSTEM
  ibrav = 0, nat = 4, ntyp = 4
/
ATOMIC_SPECIES
Co 58.93 Co.upf
Re 186.21 Re.upf
As 74.92 As.upf
Be 9.01 Be.upf
ATOMIC_POSITIONS angstrom
Co 4.3126 4.3126 4.3126
Re 1.4375 1.4375 1.4375
As 0.0000 0.0000 0.0000
Be 2.8751 2.8751 2.8751
CELL_PARAMETERS angstrom
0.0000 2.8751 2.8751
2.8751 0.0000 2.8751
2.8751 2.8751 0.0000
```

## Properties
electronic total energy: -6.874 eV/atom
symmetry: No. 216
ΔE to the lowest computed polymorph: 0 kJ/mol of formula units

ScBeCoAs | GGA-PBE | relaxed Values from VASP.

Quantum ESPRESSO input file:
```
&SYSTEM
  ibrav = 0, nat = 4, ntyp = 4
/
ATOMIC_SPECIES
Sc 44.96 Sc.upf
Co 58.93 Co.upf
As 74.92 As.upf
Be 9.01 Be.upf
ATOMIC_POSITIONS angstrom
Sc 0.0000 0.0000 0.0000
Co 4.5224 4.5224 4.5224
As 1.5075 1.5075 1.5075
Be 3.0150 3.0150 3.0150
CELL_PARAMETERS angstrom
0.0000 3.0150 3.0150
3.0150 0.0000 3.0150
3.0150 3.0150 0.0000
```

## Properties
electronic total energy: -5.529 eV/atom
symmetry: No. 216
ΔE to the lowest computed polymorph: 39 kJ/mol of formula units

ScBeCoAs | GGA-PBE | relaxed Values from VASP.

Quantum ESPRESSO input file:
```
&SYSTEM
  ibrav = 0, nat = 4, ntyp = 4
/
ATOMIC_SPECIES
Co 58.93 Co.upf
Be 9.01 Be.upf
As 74.92 As.upf
Sc 44.96 Sc.upf
ATOMIC_POSITIONS angstrom
Co 4.4820 4.4820 4.4820
Be 1.4940 1.4940 1.4940
As 0.0000 0.0000 0.0000
Sc 2.9880 2.9880 2.9880
CELL_PARAMETERS angstrom
0.0000 2.9880 2.9880
2.9880 0.0000 2.9880
2.9880 2.9880 0.0000
```

## Properties
electronic total energy: -5.590 eV/atom
symmetry: No. 216
ΔE to the lowest computed polymorph: 16 kJ/mol of formula units

ScBeCoAs | GGA-PBE | relaxed Values from VASP.

Quantum ESPRESSO input file:
```
&SYSTEM
  ibrav = 0, nat = 4, ntyp = 4
/
ATOMIC_SPECIES
As 74.92 As.upf
Sc 44.96 Sc.upf
Be 9.01 Be.upf
Co 58.93 Co.upf
ATOMIC_POSITIONS angstrom
As 1.5063 1.5063 1.5063
Sc 0.0000 0.0000 0.0000
Be 4.5189 4.5189 4.5189
Co 3.0126 3.0126 3.0126
CELL_PARAMETERS angstrom
0.0000 3.0126 3.0126
3.0126 0.0000 3.0126
3.0126 3.0126 0.0000
```

## Properties
electronic total energy: -5.632 eV/atom
symmetry: No. 216
ΔE to the lowest computed polymorph: 0 kJ/mol of formula units

BeCoAsW | GGA-PBE | relaxed Values from VASP.

Quantum ESPRESSO input file:
```
&SYSTEM
  ibrav = 0, nat = 4, ntyp = 4
/
ATOMIC_SPECIES
As 74.92 As.upf
Co 58.93 Co.upf
W 183.84 W.upf
Be 9.01 Be.upf
ATOMIC_POSITIONS angstrom
As 0.0000 0.0000 0.0000
Co -5.4164 5.4405 0.6175
W -3.6109 3.6270 0.4116
Be -1.8055 1.8135 0.2058
CELL_PARAMETERS angstrom
-1.7710 2.7898 2.5799
-1.3409 3.6804 -1.4941
-4.1100 0.7837 -0.2626
```

## Properties
electronic total energy: -6.528 eV/atom
symmetry: No. 216
ΔE to the lowest computed polymorph: 116 kJ/mol of formula units

BeCoAsW | GGA-PBE | relaxed Values from VASP.

Quantum ESPRESSO input file:
```
&SYSTEM
  ibrav = 0, nat = 4, ntyp = 4
/
ATOMIC_SPECIES
As 74.92 As.upf
W 183.84 W.upf
Co 58.93 Co.upf
Be 9.01 Be.upf
ATOMIC_POSITIONS angstrom
As 0.0000 0.0000 0.0000
W 0.1918 -2.4252 -0.7038
Co 0.5755 -7.2758 -2.1113
Be 0.3837 -4.8505 -1.4075
CELL_PARAMETERS angstrom
0.8942 -2.5460 -3.1340
1.9230 -3.5871 0.7340
-2.0498 -3.5679 -0.4151
```

## Properties
electronic total energy: -6.828 eV/atom
symmetry: No. 216
ΔE to the lowest computed polymorph: 0 kJ/mol of formula units

YBeCoAs | GGA-PBE | relaxed Values from VASP.

Quantum ESPRESSO input file:
```
&SYSTEM
  ibrav = 0, nat = 4, ntyp = 4
/
ATOMIC_SPECIES
As 74.92 As.upf
Y 88.91 Y.upf
Co 58.93 Co.upf
Be 9.01 Be.upf
ATOMIC_POSITIONS angstrom
As 0.0000 0.0000 0.0000
Y -2.1875 -1.6425 -0.0297
Co -6.5624 -4.9273 -0.0892
Be -4.3749 -3.2849 -0.0595
CELL_PARAMETERS angstrom
-1.4737 -4.1280 0.8625
-4.1254 -0.6098 1.6017
-3.1508 -1.8320 -2.5831
```

## Properties
electronic total energy: -5.532 eV/atom
symmetry: No. 216
ΔE to the lowest computed polymorph: 0 kJ/mol of formula units